An optimized crystal structure of Na2Eu2Ti3O10. Source: the Alexandria database, functional PBEsol.

Properties
E_form (uncorrected) ... -2.814 eV per atom
Spin magnetization ... 12.0 μB/cell
Space-group type ... I4/mmm (139)
Energy ... -8.777 eV/atom

The structure in POSCAR format:
```
Na2Eu2Ti3O10
1.0
-1.906 1.906 14.129
1.906 -1.906 14.129
1.906 1.906 -14.129
Na Eu Ti O
2 2 3 10
Direct
0.211 0.211 0.000
0.789 0.789 0.000
0.075 0.075 0.000
0.925 0.925 0.000
0.354 0.354 0.000
0.500 0.500 0.000
0.646 0.646 0.000
0.000 0.500 0.500
0.131 0.631 0.500
0.292 0.292 0.000
0.369 0.869 0.500
0.432 0.432 0.000
0.500 0.000 0.500
0.568 0.568 0.000
0.631 0.131 0.500
0.708 0.708 0.000
0.869 0.369 0.500
```

An optimized crystal structure of Y2Rh. Source: the Alexandria database, functional PBEsol.

Properties
Spin magnetization ... 0.0 μB/cell
Space-group type ... P-62m (189)
ΔE_f ... -550.9 meV per atom
Energy ... -7.812 eV/atom

The structure in POSCAR format:
```
Y2Rh
1.0
7.229 0.000 0.000
-3.614 6.260 0.000
0.000 0.000 4.650
Y Rh
6 3
Direct
0.000 0.264 0.000
0.000 0.592 0.500
0.264 0.000 0.000
0.408 0.408 0.500
0.592 0.000 0.500
0.736 0.736 0.000
0.000 0.000 0.500
0.333 0.667 0.000
0.667 0.333 0.000
```

An optimized crystal structure of Sc2InIr. Source: the Alexandria database, functional PBEsol.

Properties
Spin magnetization ... 0.0 μB/cell
Space-group type ... P4/mmm (123)
ΔE_f ... -762.0 meV per atom
Energy ... -7.266 eV/atom

The structure in POSCAR format:
```
Sc2InIr
1.0
3.129 0.000 0.000
0.000 3.129 0.000
0.000 0.000 7.763
Sc In Ir
2 1 1
Direct
0.000 0.000 0.212
0.000 0.000 0.788
0.500 0.500 0.500
0.500 0.500 0.000
```

An optimized crystal structure of Nd2MnFe3Si4. Source: the Alexandria database, functional PBEsol.

Properties
E_form (uncorrected) ... -0.653 eV per atom
Spin magnetization ... 2.4 μB/cell
Space-group type ... P-4m2 (115)
Energy ... -7.650 eV/atom

The structure in POSCAR format:
```
Nd2MnFe3Si4
1.0
3.944 0.000 0.000
0.000 3.944 0.000
0.000 0.000 9.889
Nd Mn Fe Si
2 1 3 4
Direct
0.000 0.500 0.243
0.500 0.000 0.757
0.000 0.000 0.500
0.000 0.000 0.000
0.500 0.500 0.000
0.500 0.500 0.500
0.000 0.500 0.624
0.000 0.500 0.890
0.500 0.000 0.110
0.500 0.000 0.376
```

An optimized crystal structure of Be2CuP. Source: the Alexandria database, functional PBEsol.

Properties
Spin magnetization ... 0.0 μB/cell
Space-group type ... Cm (8)
ΔE_f ... 102.3 meV per atom
Energy ... -4.429 eV/atom

The structure in POSCAR format:
```
Be2CuP
1.0
7.281 0.000 0.000
0.000 3.271 0.000
-0.762 0.000 3.593
Be Cu P
4 2 2
Direct
0.000 0.000 0.000
0.241 0.500 0.199
0.500 0.500 0.000
0.741 0.000 0.199
0.248 0.000 0.736
0.748 0.500 0.736
0.475 0.000 0.390
0.975 0.500 0.390
```

An optimized crystal structure of RbSe2N. Source: the Alexandria database, functional PBEsol.

Properties
E_form (uncorrected) ... 0.309 eV per atom
Spin magnetization ... 6.1 μB/cell
Space-group type ... R-3m (166)
Energy ... -4.004 eV/atom

The structure in POSCAR format:
```
RbSe2N
1.0
5.690 0.000 0.000
-2.845 4.928 0.000
0.000 0.000 17.998
Rb Se N
3 6 3
Direct
0.000 0.000 0.000
0.333 0.667 0.667
0.667 0.333 0.333
0.000 0.000 0.403
0.000 0.000 0.597
0.333 0.667 0.070
0.333 0.667 0.264
0.667 0.333 0.736
0.667 0.333 0.930
0.000 0.000 0.500
0.333 0.667 0.167
0.667 0.333 0.833
```

An optimized crystal structure of TiBi2Sb2. Source: the Alexandria database, functional PBEsol.

Properties
E_form (uncorrected) ... 0.096 eV per atom
Spin magnetization ... 0.9 μB/cell
Space-group type ... P4/mbm (127)
Energy ... -5.106 eV/atom

The structure in POSCAR format:
```
TiBi2Sb2
1.0
7.242 0.000 0.000
0.000 7.242 0.000
0.000 0.000 5.082
Ti Bi Sb
2 4 4
Direct
0.000 0.000 0.000
0.500 0.500 0.000
0.164 0.336 0.500
0.336 0.836 0.500
0.664 0.164 0.500
0.836 0.664 0.500
0.152 0.652 0.000
0.348 0.152 0.000
0.652 0.848 0.000
0.848 0.348 0.000
```

An optimized crystal structure of NaCa2Cu2. Source: the Alexandria database, functional PBEsol.

Properties
Spin magnetization ... 0.0 μB/cell
Space-group type ... P4/mbm (127)
ΔE_f ... 9.1 meV per atom
Energy ... -2.858 eV/atom

The structure in POSCAR format:
```
NaCa2Cu2
1.0
7.806 0.000 0.000
0.000 7.806 0.000
0.000 0.000 3.919
Na Ca Cu
2 4 4
Direct
0.000 0.000 0.000
0.500 0.500 0.000
0.172 0.328 0.500
0.328 0.828 0.500
0.672 0.172 0.500
0.828 0.672 0.500
0.111 0.611 0.000
0.389 0.111 0.000
0.611 0.889 0.000
0.889 0.389 0.000
```

An optimized crystal structure of Sc2FeMo. Source: the Alexandria database, functional PBEsol.

Properties
Spin magnetization ... 0.0 μB/cell
Space-group type ... P4mm (99)
Relative energy among the computed polymorphs ... 0 meV/atom
ΔE_f ... 24.8 meV per atom
Energy ... -8.461 eV/atom

The structure in POSCAR format:
```
Sc2FeMo
1.0
2.943 0.000 0.000
0.000 2.943 0.000
0.000 0.000 8.084
Sc Fe Mo
2 1 1
Direct
0.000 0.000 0.000
0.500 0.500 0.364
0.000 0.000 0.582
0.500 0.500 0.747
```

An optimized crystal structure of Zn2HgTe. Source: the Alexandria database, functional PBEsol.

Properties
E_form (uncorrected) ... 0.122 eV per atom
Spin magnetization ... 0.0 μB/cell
Space-group type ... Immm (71)
Relative energy among the computed polymorphs ... 0 meV/atom
Energy ... -1.692 eV/atom

The structure in POSCAR format:
```
Zn2HgTe
1.0
4.120 0.000 0.000
0.000 6.180 0.000
0.000 0.000 7.187
Zn Hg Te
4 2 2
Direct
0.000 0.000 0.237
0.000 0.000 0.763
0.500 0.500 0.263
0.500 0.500 0.737
0.000 0.500 0.500
0.500 0.000 0.000
0.000 0.500 0.000
0.500 0.000 0.500
```

An optimized crystal structure of MgMo2W. Source: the Alexandria database, functional PBEsol.

Properties
Spin magnetization ... 0.0 μB/cell
Space-group type ... Immm (71)
ΔE_f ... 368.7 meV per atom
Energy ... -9.396 eV/atom

The structure in POSCAR format:
```
MgMo2W
1.0
3.157 0.000 0.000
0.000 4.535 0.000
0.000 0.000 8.889
Mg Mo W
2 4 2
Direct
0.000 0.000 0.000
0.500 0.500 0.500
0.000 0.500 0.235
0.000 0.500 0.765
0.500 0.000 0.265
0.500 0.000 0.735
0.000 0.000 0.500
0.500 0.500 0.000
```

An optimized crystal structure of CuTcRh2. Source: the Alexandria database, functional PBEsol.

Properties
Spin magnetization ... 0.0 μB/cell
Space-group type ... P4/mmm (123)
Relative energy among the computed polymorphs ... 0 meV/atom
ΔE_f ... -62.6 meV per atom
Energy ... -8.032 eV/atom

The structure in POSCAR format:
```
CuTcRh2
1.0
2.706 0.000 0.000
0.000 2.706 0.000
0.000 0.000 7.167
Cu Tc Rh
1 1 2
Direct
0.000 0.000 0.000
0.000 0.000 0.500
0.500 0.500 0.249
0.500 0.500 0.751
```